[1]
## Pr5PbS8 (PBE)

Data for a relaxed Pr5PbS8 crystal.

Cell lengths 7.538, 7.538, 7.538 Å; angles 109.19, 110.03, 109.19 degrees
Element x y z (fractional)
Pr 0.016 0.386 0.133
Pr 0.867 0.883 0.253
Pr 0.747 0.614 0.630
Pr 0.500 0.000 0.500
Pr 0.370 0.117 0.984
Pb 0.250 0.500 0.750
S 0.128 0.758 0.031
S 0.969 0.097 0.727
S 0.762 0.246 0.365
S 0.635 0.397 0.881
S 0.484 0.603 0.238
S 0.630 0.903 0.872
S 0.273 0.242 0.370
S 0.119 0.754 0.516

Computed properties:
formation energy from raw total energies: -41.75 kcal/mol of atoms
magnetization: 0.000 μB/atom


[2]
## BaZnIr2 (PBE)

Data for a relaxed BaZnIr2 crystal.

Cell lengths 4.240, 2.978, 6.957 Å; angles 80.93, 90.00, 90.00 degrees
Element x y z (fractional)
Ba 0.500 0.741 0.753
Ir 0.000 0.973 0.112
Ir 0.500 0.423 0.200
Zn 0.000 0.362 0.435

Computed properties:
magnetization: 0.000 μB/atom
energy of formation from the pure elements: 160 meV/atom


[3]
## InOsBr2 (PBE)

Data for a relaxed InOsBr2 crystal.

Cell lengths 6.306, 6.306, 6.306 Å; angles 149.63, 106.72, 81.34 degrees
Element x y z (fractional)
Os 0.253 0.753 0.500
Br 0.064 0.064 0.000
Br 0.706 0.206 0.500
In 0.477 0.477 0.000

Computed properties:
E above lowest polymorph: 0.3801 eV/atom
formation energy from raw total energies: 12.95 kcal/mol of atoms
magnetization: 0.250 μB/atom


[4]
## Li2TaTe (PBE)

Data for a relaxed Li2TaTe crystal.

Cell lengths 3.675, 3.685, 6.600 Å; angles 55.98, 90.00, 90.00 degrees
Element x y z (fractional)
Li 0.000 0.001 0.999
Li 0.000 0.499 0.501
Ta 0.500 0.250 0.250
Te 0.500 0.750 0.750

Computed properties:
formation energy from raw total energies: 3.34 kcal/mol of atoms
magnetization: 0.000 μB/atom


[5]
## Nd4GeSb2Se (PBE)

Data for a relaxed Nd4GeSb2Se crystal.

Cell lengths 4.389, 7.645, 7.613 Å; angles 70.74, 90.00, 90.00 degrees
Element x y z (fractional)
Nd 0.000 0.738 0.748
Nd 0.000 0.262 0.252
Nd 0.500 0.736 0.258
Nd 0.500 0.264 0.742
Ge 0.000 0.500 0.500
Sb 0.000 0.000 0.000
Sb 0.500 0.000 0.500
Se 0.500 0.500 0.000

Computed properties:
formation energy from raw total energies: -29.57 kcal/mol of atoms
magnetization: 0.000 μB/atom


[6]
## CuSb2PbCl (PBE)

Data for a relaxed CuSb2PbCl crystal.

Cell lengths 4.922, 6.057, 4.922 Å; angles 90.00, 90.00, 90.00 degrees
Element x y z (fractional)
Pb 0.000 0.500 0.000
Sb 0.000 0.000 0.500
Sb 0.500 0.000 0.000
Cu 0.000 0.000 0.000
Cl 0.500 0.500 0.500

Computed properties:
formation energy from raw total energies: 4.15 kcal/mol of atoms
magnetization: 0.000 μB/atom


[7]
## TiAgP2O (PBE)

Data for a relaxed TiAgP2O crystal.

Cell lengths 4.969, 4.969, 3.637 Å; angles 90.00, 90.00, 90.00 degrees
Element x y z (fractional)
P 0.000 0.500 0.000
P 0.500 0.000 0.000
O 0.000 0.000 0.500
Ag 0.500 0.500 0.500
Ti 0.000 0.000 0.000

Computed properties:
E above lowest polymorph: 0.0000 eV/atom
formation energy from raw total energies: -8.30 kcal/mol of atoms
magnetization: 0.000 μB/atom